Here is an optimized crystal structure of Sc2BiPt2 from the Alexandria database. Energies are from PBE.

a b c (Å): 7.844 7.844 3.287
angles (deg): 90.00 90.00 90.00
Space group P4/mbm (No. 127)
Unique sites:
Sc 0.159 0.341 0.000 (multiplicity 4)
Bi 0.000 0.000 0.500 (multiplicity 2)
Pt 0.130 0.630 0.500 (multiplicity 4)

Properties
Total energy: -6.73 eV/atom
Theoretical density: 11.32 g/cm³
Energy relative to the elements: -97 kJ/mol of atoms
Size of the total moment: 0.000 μB/cell
Polymorph energy (0 for the lowest one): 0 meV per atom

=====

Here is an optimized crystal structure of Sc6Bi2Pt from the Alexandria database. Energies are from PBE.

a b c (Å): 6.342 6.342 13.555
angles (deg): 90.00 90.00 90.00
Space group P4_2/mnm (No. 136)
Unique sites:
Sc 0.183 0.183 0.144 (multiplicity 8)
Sc 0.209 0.209 0.500 (multiplicity 4)
Bi 0.000 0.000 0.326 (multiplicity 4)
Pt 0.000 0.000 0.000 (multiplicity 2)

Properties
Total energy: -5.98 eV/atom
Theoretical density: 5.38 g/cm³
Energy relative to the elements: -22 kJ/mol of atoms
Size of the total moment: 0.304 μB/cell